#a
An optimized crystal structure of BaMgCd4, computed with GGA-PBE.

Lattice parameters (Å, degrees): 5.293 5.293 7.978 90.00 90.00 90.00
Atoms (fractional coordinates):
1 Cd 0.500 0.500 0.831
2 Cd 0.500 0.500 0.169
3 Cd 0.000 0.500 0.500
4 Cd 0.500 0.000 0.500
5 Mg 0.500 0.500 0.500
6 Ba 0.000 0.000 0.000

=====

#b
An optimized crystal structure of BaMgCd4, computed with GGA-PBE.

Lattice parameters (Å, degrees): 6.153 6.153 6.153 60.00 60.00 60.00
Atoms (fractional coordinates):
1 Cd 0.126 0.625 0.625
2 Ba 0.000 0.000 0.000
3 Cd 0.625 0.126 0.625
4 Cd 0.625 0.625 0.625
5 Cd 0.625 0.625 0.126
6 Mg 0.250 0.250 0.250

=====

#c
An optimized crystal structure of BaMgCd4, computed with GGA-PBE.

Lattice parameters (Å, degrees): 10.090 10.090 10.090 131.98 99.53 99.53
Atoms (fractional coordinates):
1 Cd 0.175 0.891 0.284
2 Cd 0.606 0.716 0.891
3 Cd 0.356 0.495 0.495
4 Ba 0.000 0.228 0.228
5 Cd 0.394 0.284 0.109
6 Cd 0.644 0.505 0.505
7 Cd 0.394 0.109 0.284
8 Cd 0.175 0.284 0.891
9 Cd 0.644 0.139 0.139
10 Cd 0.825 0.109 0.716
11 Cd 0.000 0.139 0.495
12 Cd 0.000 0.861 0.505
13 Cd 0.825 0.716 0.109
14 Ba 0.500 0.750 0.250
15 Mg 0.739 0.500 0.239
16 Mg 0.739 0.239 0.500
17 Mg 0.261 0.761 0.500
18 Cd 0.606 0.891 0.716
19 Cd 0.000 0.505 0.861
20 Ba 0.000 0.772 0.772
21 Cd 0.000 0.495 0.139
22 Ba 0.500 0.250 0.750
23 Cd 0.356 0.861 0.861
24 Mg 0.261 0.500 0.761

=====

Which of them is the most stable? Correct choice: #b.

=====

#a
An optimized crystal structure of Ba4MgCd3, computed with GGA-PBE.

Lattice parameters (Å, degrees): 6.066 8.549 12.130 90.00 90.00 90.00
Atoms (fractional coordinates):
1 Ba 0.500 0.754 0.500
2 Ba 0.500 0.246 0.500
3 Ba 0.500 0.246 0.000
4 Ba 0.500 0.754 0.000
5 Cd 0.000 0.000 0.500
6 Cd 0.000 0.000 0.000
7 Ba 0.002 0.246 0.750
8 Ba 0.002 0.754 0.750
9 Cd 0.498 0.000 0.250
10 Cd 0.503 0.500 0.750
11 Ba 0.998 0.754 0.250
12 Ba 0.998 0.246 0.250
13 Mg 0.000 0.500 0.000
14 Cd 0.502 0.000 0.750
15 Mg 0.000 0.500 0.500
16 Cd 0.497 0.500 0.250

=====

#b
An optimized crystal structure of Ba4MgCd3, computed with GGA-PBE.

Lattice parameters (Å, degrees): 4.632 5.482 13.022 90.00 90.00 90.00
Atoms (fractional coordinates):
1 Ba 0.000 0.500 0.850
2 Ba 0.000 0.000 0.146
3 Cd 0.500 0.000 0.936
4 Mg 0.500 0.500 0.063
5 Cd 0.000 0.000 0.433
6 Cd 0.000 0.500 0.569
7 Ba 0.500 0.500 0.361
8 Ba 0.500 0.000 0.642

=====

Which of them is the most stable? Correct choice: #a.

=====

#a
An optimized crystal structure of Ba2Mg5Cd4, computed with GGA-PBE.

Lattice parameters (Å, degrees): 6.568 6.380 9.578 79.84 69.95 59.02
Atoms (fractional coordinates):
1 Cd 0.516 0.704 0.263
2 Cd 0.221 0.296 0.263
3 Mg 0.000 0.500 0.000
4 Mg 0.750 0.500 0.500
5 Mg 0.250 0.500 0.500
6 Ba 0.866 0.000 0.269
7 Cd 0.484 0.296 0.737
8 Ba 0.134 0.000 0.731
9 Mg 0.500 0.500 0.000
10 Cd 0.779 0.704 0.737
11 Mg 0.500 0.000 0.000

=====

#b
An optimized crystal structure of Ba2Mg5Cd4, computed with GGA-PBE.

Lattice parameters (Å, degrees): 6.356 7.752 7.756 79.52 65.81 65.80
Atoms (fractional coordinates):
1 Cd 0.248 0.411 0.093
2 Mg 0.000 0.500 0.500
3 Cd 0.248 0.093 0.412
4 Mg 0.752 0.202 0.798
5 Cd 0.752 0.589 0.907
6 Mg 0.248 0.202 0.798
7 Ba 0.283 0.717 0.717
8 Mg 0.752 0.798 0.202
9 Ba 0.717 0.283 0.283
10 Mg 0.248 0.798 0.202
11 Cd 0.752 0.907 0.588

=====

Which of them is the most stable? Correct choice: #a.

=====

#a
An optimized crystal structure of BaMg9Cd2, computed with GGA-PBE.

Lattice parameters (Å, degrees): 3.422 10.089 10.089 120.00 90.00 90.00
Atoms (fractional coordinates):
1 Mg 0.500 0.188 0.377
2 Cd 0.000 0.667 0.333
3 Ba 0.000 0.000 0.000
4 Mg 0.500 0.812 0.188
5 Mg 0.000 0.000 0.500
6 Cd 0.000 0.333 0.667
7 Mg 0.500 0.623 0.812
8 Mg 0.500 0.812 0.623
9 Mg 0.500 0.377 0.188
10 Mg 0.500 0.188 0.812
11 Mg 0.000 0.500 0.500
12 Mg 0.000 0.500 0.000

=====

#b
An optimized crystal structure of BaMg9Cd2, computed with GGA-PBE.

Lattice parameters (Å, degrees): 7.957 9.587 9.587 80.08 65.48 65.48
Atoms (fractional coordinates):
1 Mg 0.065 0.328 0.920
2 Ba 0.250 0.500 0.500
3 Mg 0.015 0.920 0.672
4 Mg 0.685 0.172 0.580
5 Mg 0.144 0.172 0.420
6 Mg 0.000 0.000 0.000
7 Mg 0.144 0.420 0.172
8 Mg 0.606 0.328 0.080
9 Mg 0.065 0.920 0.328
10 Mg 0.606 0.080 0.328
11 Mg 0.437 0.828 0.420
12 Mg 0.750 0.500 0.500
13 Mg 0.313 0.080 0.672
14 Mg 0.313 0.672 0.080
15 Cd 0.875 0.750 0.250
16 Mg 0.735 0.828 0.580
17 Mg 0.685 0.580 0.172
18 Mg 0.437 0.420 0.828
19 Mg 0.015 0.672 0.920
20 Cd 0.375 0.750 0.750
21 Mg 0.735 0.580 0.828
22 Cd 0.875 0.250 0.750
23 Cd 0.875 0.250 0.250
24 Ba 0.500 0.000 0.000

=====

Which of them is the most stable? Correct choice: #b.

=====

#a
An optimized crystal structure of BaMg6Cd, computed with GGA-PBE.

Lattice parameters (Å, degrees): 5.027 5.027 10.693 76.41 76.41 60.00
Atoms (fractional coordinates):
1 Mg 0.906 0.906 0.283
2 Mg 0.258 0.258 0.226
3 Mg 0.742 0.742 0.774
4 Mg 0.633 0.633 0.102
5 Ba 0.500 0.500 0.500
6 Mg 0.367 0.367 0.898
7 Mg 0.094 0.094 0.717
8 Cd 0.000 0.000 0.000

=====

#b
An optimized crystal structure of BaMg6Cd, computed with GGA-PBE.

Lattice parameters (Å, degrees): 4.854 4.854 10.048 90.00 90.00 90.00
Atoms (fractional coordinates):
1 Mg 0.000 0.500 0.337
2 Mg 0.000 0.500 0.663
3 Mg 0.500 0.000 0.663
4 Mg 0.500 0.500 0.851
5 Ba 0.000 0.000 0.000
6 Mg 0.500 0.000 0.337
7 Cd 0.000 0.000 0.500
8 Mg 0.500 0.500 0.149

=====

#c
An optimized crystal structure of BaMg6Cd, computed with GGA-PBE.

Lattice parameters (Å, degrees): 7.798 7.798 4.971 90.00 90.00 131.96
Atoms (fractional coordinates):
1 Mg 0.307 0.182 0.500
2 Mg 0.794 0.206 0.500
3 Ba 0.212 0.788 0.000
4 Mg 0.620 0.380 0.000
5 Mg 0.696 0.830 0.000
6 Mg 0.818 0.693 0.500
7 Mg 0.170 0.304 0.000
8 Cd 0.384 0.616 0.500

=====

Which of them is the most stable? Correct choice: #a.

=====

#a
An optimized crystal structure of BaMg3Cd, computed with GGA-PBE.

Lattice parameters (Å, degrees): 5.424 5.424 5.424 90.00 90.00 90.00
Atoms (fractional coordinates):
1 Mg 0.500 0.000 0.000
2 Mg 0.000 0.500 0.000
3 Cd 0.000 0.000 0.000
4 Mg 0.000 0.000 0.500
5 Ba 0.500 0.500 0.500

=====

#b
An optimized crystal structure of BaMg3Cd, computed with GGA-PBE.

Lattice parameters (Å, degrees): 6.966 6.966 6.966 90.00 90.00 90.00
Atoms (fractional coordinates):
1 Mg 0.000 0.000 0.500
2 Cd 0.500 0.500 0.500
3 Mg 0.500 0.000 0.000
4 Ba 0.000 0.000 0.000
5 Mg 0.000 0.500 0.000

=====

#c
An optimized crystal structure of BaMg3Cd, computed with GGA-PBE.

Lattice parameters (Å, degrees): 6.205 6.869 7.542 90.00 110.60 90.00
Atoms (fractional coordinates):
1 Mg 0.289 0.219 0.096
2 Mg 0.289 0.676 0.096
3 Mg 0.745 0.176 0.464
4 Cd 0.898 0.448 0.814
5 Mg 0.262 0.948 0.411
6 Mg 0.772 0.448 0.150
7 Ba 0.300 0.448 0.598
8 Mg 0.745 0.719 0.464
9 Cd 0.137 0.948 0.747
10 Ba 0.735 0.948 0.963

=====

#d
An optimized crystal structure of BaMg3Cd, computed with GGA-PBE.

Lattice parameters (Å, degrees): 6.410 7.353 7.352 120.01 90.00 90.00
Atoms (fractional coordinates):
1 Mg 0.750 0.190 0.810
2 Mg 0.250 0.810 0.619
3 Mg 0.750 0.619 0.810
4 Mg 0.750 0.190 0.381
5 Cd 0.000 0.000 0.000
6 Ba 0.750 0.667 0.333
7 Ba 0.250 0.333 0.667
8 Mg 0.250 0.381 0.190
9 Mg 0.250 0.810 0.190
10 Cd 0.500 0.000 0.000

=====

Which of them is the most stable? Correct choice: #c.